# LiFe3O2F6, optimized geometry, DFT GGA-PBEsol
data_LiFe3O2F6
_space_group_name_H-M_alt 'P 1'
_space_group_IT_number 1
_cell_length_a 4.988
_cell_length_b 5.547
_cell_length_c 5.570
_cell_angle_alpha 108.12
_cell_angle_beta 113.03
_cell_angle_gamma 90.27
loop_
_space_group_symop_operation_xyz
'x,y,z'
loop_
_atom_site_label
_atom_site_type_symbol
_atom_site_fract_x
_atom_site_fract_y
_atom_site_fract_z
_atom_site_occupancy
Li1 Li 0.000 0.000 0.000 1
Fe1 Fe 0.222 0.645 0.452 1
Fe2 Fe 0.686 0.876 0.425 1
Fe3 Fe 0.691 0.412 0.433 1
O1 O 0.649 0.721 0.662 1
O2 O 0.758 0.581 0.230 1
F1 F 0.090 0.955 0.661 1
F2 F 0.093 0.468 0.652 1
F3 F 0.274 0.820 0.204 1
F4 F 0.278 0.321 0.206 1
F5 F 0.641 0.205 0.634 1
F6 F 0.748 0.080 0.217 1
# ΔE_f (raw): -1873.0 meV/atom



# Li3Fe3O4F4, optimized geometry, DFT GGA-PBEsol
data_Li3Fe3O4F4
_space_group_name_H-M_alt 'P 1 m 1'
_space_group_IT_number 6
_cell_length_a 4.788
_cell_length_b 2.801
_cell_length_c 9.327
_cell_angle_alpha 90.00
_cell_angle_beta 90.01
_cell_angle_gamma 90.00
loop_
_space_group_symop_operation_xyz
'x,y,z'
'x,-y,z'
loop_
_atom_site_label
_atom_site_type_symbol
_atom_site_fract_x
_atom_site_fract_y
_atom_site_fract_z
_atom_site_occupancy
Li1 Li 0.000 0.000 0.000 1
Li2 Li 0.043 0.500 0.613 1
Li3 Li 0.539 0.500 0.540 1
Fe1 Fe 0.064 0.000 0.312 1
Fe2 Fe 0.553 0.500 0.115 1
Fe3 Fe 0.572 0.000 0.844 1
O1 O 0.274 0.500 0.251 1
O2 O 0.377 0.000 0.011 1
O3 O 0.770 0.500 0.924 1
O4 O 0.787 0.000 0.180 1
F1 F 0.279 0.000 0.503 1
F2 F 0.334 0.500 0.753 1
F3 F 0.775 0.000 0.662 1
F4 F 0.850 0.500 0.419 1
# ΔE_f (raw): -1938.1 meV/atom



| no. | density of states at the Fermi level (states/eV/atom) | total moment (μB per atom) | energy (eV/cell) |
| --- | --- | --- | --- |
| 1 | 0.105 | 0.583 | -73.4 |
| 2 | 0.441 | 0.215 | -88.6 |